Here is MnPd3Br at its PBEsol-relaxed geometry from Alexandria. Energies are from SCAN.

As for the total energy: -26.6186 eV/atom. The value obtained for the density of states at the Fermi level is 0.471 states/eV/atom. The value obtained for the formation energy (no corrections) is 0.589 eV/atom.

It has space group Pm-3m (No. 221), with a = 4.6346 Å, b = 4.6346 Å, c = 4.6346 Å, α = 90.00°, β = 90.00° and γ = 90.00°. Symmetry generates all atoms from Mn at (0.0000, 0.0000, 0.0000), Pd at (0.0000, 0.5000, 0.5000) and Br at (0.5000, 0.5000, 0.5000).

Here is LiLaTe at its PBEsol-relaxed geometry from Alexandria. Energies are from SCAN.

As for the energy above the most stable polymorph in this dataset: 0.0 meV per atom. As for the total energy: -28.7442 eV/atom. The value obtained for the density of states at the Fermi level is 0.069 states/eV/atom. The value obtained for the formation energy (no corrections) is -1.162 eV/atom.

It has space group P-6m2 (No. 187), with a = 4.4945 Å, b = 4.4945 Å, c = 4.2067 Å, α = 90.00°, β = 90.00° and γ = 120.00°. Symmetry generates all atoms from Li at (0.0000, 0.0000, 0.0000), La at (0.3333, 0.6667, 0.5000) and Te at (0.6667, 0.3333, 0.0000).

Here is BaCdNi at its PBEsol-relaxed geometry from Alexandria. Energies are from SCAN.

As for the energy relative to the elements: 0.722 eV per atom. As for the total energy: -27.9906 eV/atom. The value obtained for the density of states at the Fermi level is 1.050 states/eV/atom.

It has space group F-43m (No. 216), with a = 7.3274 Å, b = 7.3274 Å, c = 7.3274 Å, α = 90.00°, β = 90.00° and γ = 90.00°. Symmetry generates all atoms from Ba at (0.0000, 0.0000, 0.0000), Cd at (0.2500, 0.2500, 0.2500) and Ni at (0.2500, 0.2500, 0.7500).